No. 1
Pu2BiP, optimized geometry, DFT PBE; energy of formation from the pure elements = -2.59 eV/f.u.; total moment = 0.1 μB per formula unit; VASP energy = -40.5 eV for the cell shown
1.0
3.872 0.000 0.000
1.936 3.353 0.000
1.936 1.118 8.239
Pu Bi P
2 1 1
direct
0.067 0.067 0.798
0.266 0.266 0.202
0.500 0.500 0.501
0.667 0.667 0.999

No. 2
Pu2BiP, optimized geometry, DFT PBE; energy of formation from the pure elements = -2.81 eV/f.u.; total moment = 11.2 μB per formula unit; VASP energy = -40.8 eV for the cell shown
1.0
-3.447 -0.084 0.481
0.023 -3.453 -0.441
1.131 -1.005 7.929
P Bi Pu
1 1 2
direct
0.500 0.500 0.000
0.500 0.500 0.500
0.000 0.000 0.804
0.000 0.000 0.196

No. 3
Sr2Pu2Bi2P, optimized geometry, DFT PBE; energy of formation from the pure elements = -5.37 eV/f.u.; total moment = 11.0 μB per formula unit; VASP energy = -50.6 eV for the cell shown
1.0
5.299 0.000 0.000
0.000 5.299 0.000
-2.649 -2.649 8.696
Sr Pu Bi P
2 2 2 1
direct
0.174 0.174 0.347
0.826 0.826 0.653
0.000 0.500 0.000
0.500 0.000 0.000
0.371 0.371 0.743
0.629 0.629 0.257
0.000 0.000 0.000

No. 4
Pu4BiTe2P, optimized geometry, DFT PBE; total moment = 0.0 μB per formula unit; ΔE_f (raw) = -0.837 eV per atom; VASP energy = -79.6 eV for the cell shown
1.0
4.335 0.000 0.000
0.000 7.558 -0.145
0.000 2.664 7.117
Pu Bi Te P
4 1 2 1
direct
0.000 0.740 0.733
0.000 0.260 0.267
0.500 0.725 0.277
0.500 0.275 0.723
0.500 0.500 0.000
0.000 0.000 0.000
0.500 0.000 0.500
0.000 0.500 0.500

No. 5
RbBiP2, optimized geometry, DFT PBE; energy of formation from the pure elements = 0.65 eV/f.u.; total moment = 0.0 μB per formula unit; VASP energy = -30.0 eV for the cell shown
1.0
-6.388 1.079 -4.385
1.988 -6.148 -4.410
-4.566 -5.286 -1.628
P Bi Rb
4 2 2
direct
0.706 0.125 0.250
0.044 0.625 0.250
0.375 0.294 0.750
0.875 0.956 0.750
0.000 0.000 0.000
0.750 0.250 0.500
0.500 0.500 0.000
0.250 0.750 0.500

No. 6
Rb2Bi2P, optimized geometry, DFT PBE; energy of formation from the pure elements = -0.33 eV/f.u.; total moment = 0.0 μB per formula unit; VASP energy = -30.9 eV for the cell shown
1.0
-3.882 -4.497 5.009
-3.067 -3.966 -5.937
4.660 -3.844 0.160
P Bi Rb
2 4 4
direct
0.000 0.000 0.000
0.500 0.500 0.000
0.358 0.858 0.000
0.858 0.642 0.000
0.642 0.142 0.000
0.142 0.358 0.000
0.175 0.675 0.500
0.675 0.825 0.500
0.825 0.325 0.500
0.325 0.175 0.500

No. 7
Rb2BiP, optimized geometry, DFT PBE; energy of formation from the pure elements = -0.19 eV/f.u.; E above lowest polymorph = 0.000 eV per atom; total moment = 0.0 μB per formula unit; VASP energy = -22.8 eV for the cell shown
1.0
12.963 0.000 0.000
0.000 12.963 0.000
6.482 6.482 2.723
P Bi Rb
2 2 4
direct
0.500 0.500 0.000
0.250 0.750 0.500
0.000 0.000 0.000
0.750 0.250 0.500
0.426 0.125 0.250
0.324 0.625 0.250
0.375 0.574 0.750
0.875 0.676 0.750

No. 8
Rb2BiP, optimized geometry, DFT PBE; energy of formation from the pure elements = 1.15 eV/f.u.; E above lowest polymorph = 0.335 eV per atom; total moment = 0.0 μB per formula unit; VASP energy = -10.1 eV for the cell shown
1.0
1.403 -5.644 -1.198
-4.295 -4.014 -0.838
-0.977 -2.215 -5.422
P Bi Rb
1 1 2
direct
0.000 0.000 0.000
0.500 0.500 0.500
0.250 0.250 0.250
0.750 0.750 0.750

No. 9
RbBi2P, optimized geometry, DFT PBE; energy of formation from the pure elements = 0.20 eV/f.u.; total moment = 0.0 μB per formula unit; VASP energy = -27.9 eV for the cell shown
1.0
8.597 0.000 0.000
0.000 8.597 0.000
4.299 4.299 4.184
P Bi Rb
2 4 2
direct
0.500 0.500 0.000
0.250 0.750 0.500
0.519 0.125 0.250
0.231 0.625 0.250
0.375 0.481 0.750
0.875 0.769 0.750
0.000 0.000 0.000
0.750 0.250 0.500

No. 10
Rb2BiPS4, optimized geometry, DFT PBE; total moment = 0.0 μB per formula unit; ΔE_f (raw) = -0.487 eV per atom; VASP energy = -31.6 eV for the cell shown
1.0
-3.300 6.980 -0.977
-2.370 -5.784 4.635
6.407 -1.714 4.071
Rb Bi P S
2 1 1 4
direct
0.500 0.750 0.250
0.000 0.000 0.000
0.500 0.250 0.750
0.000 0.500 0.500
0.638 0.382 0.467
0.085 0.256 0.618
0.915 0.533 0.171
0.362 0.829 0.744

No. 11
Rb3BiP2S8, optimized geometry, DFT PBE; total moment = 0.0 μB per formula unit; ΔE_f (raw) = -0.618 eV per atom; VASP energy = -59.3 eV for the cell shown
1.0
6.932 0.000 0.000
-3.466 6.003 0.000
0.000 0.000 10.286
Rb Bi P S
3 1 2 8
direct
0.333 0.667 0.723
0.667 0.333 0.277
0.000 0.000 0.000
0.000 0.000 0.500
0.333 0.667 0.247
0.667 0.333 0.753
0.333 0.667 0.054
0.667 0.333 0.946
0.166 0.834 0.302
0.834 0.166 0.698
0.166 0.332 0.302
0.834 0.668 0.698
0.668 0.834 0.302
0.332 0.166 0.698

No. 12
RbBiP2Se8, optimized geometry, DFT PBE; total moment = 0.0 μB per formula unit; ΔE_f (raw) = -0.197 eV per atom; VASP energy = -45.9 eV for the cell shown
1.0
-1.895 2.920 5.335
1.802 -6.108 0.180
9.656 2.903 1.841
Rb Bi P Se
1 1 2 8
direct
0.000 0.000 0.000
0.000 0.000 0.500
0.667 0.333 0.265
0.333 0.667 0.735
0.333 0.667 0.949
0.354 0.386 0.324
0.614 0.969 0.324
0.667 0.333 0.051
0.386 0.031 0.676
0.646 0.614 0.676
0.969 0.354 0.676
0.031 0.646 0.324

No. 13
RbVBi2P, optimized geometry, DFT PBE; energy of formation from the pure elements = 3.74 eV/f.u.; total moment = 3.5 μB per formula unit; VASP energy = -19.5 eV for the cell shown
1.0
-0.024 -2.179 -4.791
-4.221 -4.225 1.943
-3.897 3.227 -1.449
P Bi Rb V
1 2 1 1
direct
0.500 0.500 0.500
0.000 0.000 0.500
0.500 0.000 0.000
0.000 0.500 0.000
0.000 0.000 0.000

No. 14
RbZn2BiP, optimized geometry, DFT PBE; energy of formation from the pure elements = 6.87 eV/f.u.; total moment = 0.8 μB per formula unit; VASP energy = -5.9 eV for the cell shown
1.0
-5.228 1.819 -2.027
-3.100 -5.630 2.944
-0.857 3.066 4.962
P Zn Bi Rb
1 2 1 1
direct
0.500 0.500 0.500
0.000 0.000 0.500
0.500 0.000 0.000
0.000 0.500 0.000
0.000 0.000 0.000

No. 15
Re3BiP, optimized geometry, DFT PBE; energy of formation from the pure elements = 17.38 eV/f.u.; E above lowest polymorph = 2.465 eV per atom; total moment = 2.5 μB per formula unit; VASP energy = -29.3 eV for the cell shown
1.0
-3.668 1.155 3.182
-2.544 -4.035 -1.468
2.233 -2.701 3.554
Re Bi P
3 1 1
direct
0.000 0.500 0.000
0.000 0.000 0.500
0.500 0.000 0.000
0.000 0.000 0.000
0.500 0.500 0.500

No. 16
ReBiP3, optimized geometry, DFT PBE; energy of formation from the pure elements = 2.81 eV/f.u.; E above lowest polymorph = 0.000 eV per atom; total moment = 0.0 μB per formula unit; VASP energy = -29.7 eV for the cell shown
1.0
-2.155 -3.776 -1.785
4.177 -1.947 -0.925
0.004 -2.010 4.248
Re Bi P
1 1 3
direct
0.000 0.000 0.000
0.500 0.500 0.500
0.000 0.500 0.000
0.000 0.000 0.500
0.500 0.000 0.000

No. 17
ReBiP2, optimized geometry, DFT PBE; energy of formation from the pure elements = 1.02 eV/f.u.; total moment = 0.0 μB per formula unit; VASP energy = -52.3 eV for the cell shown
1.0
6.013 0.000 0.000
0.000 6.013 0.000
3.006 3.006 5.406
Re Bi P
2 2 4
direct
0.500 0.500 0.000
0.250 0.750 0.500
0.000 0.000 0.000
0.750 0.250 0.500
0.550 0.125 0.250
0.200 0.625 0.250
0.375 0.450 0.750
0.875 0.800 0.750

No. 18
ReBi3P, optimized geometry, DFT PBE; energy of formation from the pure elements = 4.88 eV/f.u.; E above lowest polymorph = 0.000 eV per atom; total moment = 0.0 μB per formula unit; VASP energy = -24.6 eV for the cell shown
1.0
-0.951 4.735 -2.122
-4.925 -1.502 -1.146
-1.633 1.775 4.691
Re Bi P
1 3 1
direct
0.000 0.000 0.000
0.000 0.500 0.000
0.000 0.000 0.500
0.500 0.000 0.000
0.500 0.500 0.500

No. 19
Re2BiP, optimized geometry, DFT PBE; energy of formation from the pure elements = 2.78 eV/f.u.; E above lowest polymorph = 0.000 eV per atom; total moment = 0.0 μB per formula unit; VASP energy = -62.8 eV for the cell shown
1.0
4.500 0.000 0.000
0.000 4.500 0.000
2.250 2.250 8.137
Re Bi P
4 2 2
direct
0.509 0.125 0.250
0.241 0.625 0.250
0.375 0.491 0.750
0.875 0.759 0.750
0.000 0.000 0.000
0.750 0.250 0.500
0.500 0.500 0.000
0.250 0.750 0.500

No. 20
Re2BiP, optimized geometry, DFT PBE; energy of formation from the pure elements = 3.51 eV/f.u.; E above lowest polymorph = 0.183 eV per atom; total moment = 0.0 μB per formula unit; VASP energy = -30.7 eV for the cell shown
1.0
0.000 3.206 3.206
3.206 0.000 3.206
3.206 3.206 0.000
Re Bi P
2 1 1
direct
0.250 0.250 0.250
0.750 0.750 0.750
0.500 0.500 0.500
0.000 0.000 0.000